Computed, not measured: a relaxed structure of PmGdZnCo at the PBE level of DFT.

Computed properties:
D(E_F): 0.763 states/eV/atom
Formation energy: -0.165 eV/atom

Unit cell a=7.0407 b=7.0407 c=7.0407 alpha=90.00 beta=90.00 gamma=90.00
Space group F-43m (No. 216)
Inequivalent atoms, fractional coordinates:
Pm  0.0000  0.0000  0.0000 x4
Gd  0.0000  0.0000  0.5000 x4
Zn  0.2500  0.2500  0.2500 x4
Co  0.2500  0.2500  0.7500 x4